<one>
A geometry-optimized EuErZr structure. Source: the Alexandria database, functional PBE-GGA.

Output
- total magnetic moment (μB per atom) = 2.51
- Fermi-level density of states (states/eV per cell) = 3.64
- SG = P3m1

Cell and atoms, written as POSCAR:
```
EuErZr
1.0
-2.911 1.384 -1.216
2.397 -1.165 -2.184
-3.730 -7.791 0.062
Eu Zr Er
1 1 1
direct
0.000 0.000 0.015
0.667 0.333 0.345
0.333 0.667 0.639
```

---

<two>
A geometry-optimized EuErZr structure. Source: the Alexandria database, functional PBE-GGA.

Output
- total magnetic moment (μB per atom) = 2.41
- Fermi-level density of states (states/eV per cell) = 3.04
- SG = I4mm

Cell and atoms, written as POSCAR:
```
EuErZr
1.0
-1.276 3.142 -0.431
-2.185 -1.207 -2.335
-3.418 -2.302 6.890
Eu Zr Er
1 1 1
direct
0.992 0.992 0.985
0.324 0.324 0.648
0.684 0.684 0.367
```

---

Result of the stability comparison: <two> is the most stable of them.

---

<one>
A geometry-optimized ErF4 structure. Source: the Alexandria database, functional PBE-GGA.

Output
- total magnetic moment (μB per atom) = 0.20
- Fermi-level density of states (states/eV per cell) = 8.68
- SG = P-43m

Cell and atoms, written as POSCAR:
```
ErF4
1.0
-0.090 -0.446 4.361
1.040 -4.239 -0.412
4.258 1.026 0.193
Er F
1 4
direct
0.000 0.000 0.000
0.271 0.729 0.729
0.729 0.271 0.729
0.729 0.729 0.271
0.271 0.271 0.271
```

---

<two>
A geometry-optimized ErF4 structure. Source: the Alexandria database, functional PBE-GGA.

Output
- total magnetic moment (μB per atom) = 0.20
- Fermi-level density of states (states/eV per cell) = 9.13
- SG = Pm-3m

Cell and atoms, written as POSCAR:
```
ErF4
1.0
-3.108 -2.666 1.411
0.470 -2.430 -3.555
2.979 -2.398 2.033
F Er
4 1
direct
0.000 0.000 0.000
0.500 0.000 0.500
0.000 0.500 0.500
0.500 0.500 0.000
0.500 0.500 0.500
```

---

Result of the stability comparison: <two> is the most stable of them.

---

<one>
A geometry-optimized ErHF structure. Source: the Alexandria database, functional PBE-GGA.

Output
- total magnetic moment (μB per atom) = 0.34
- Fermi-level density of states (states/eV per cell) = 0.19
- SG = P3m1

Cell and atoms, written as POSCAR:
```
ErHF
1.0
-0.590 1.558 -3.045
0.354 -3.450 0.145
-5.071 -0.490 0.731
H F Er
1 1 1
direct
0.000 0.000 0.164
0.333 0.667 0.533
0.667 0.333 0.303
```

---

<two>
A geometry-optimized ErHF structure. Source: the Alexandria database, functional PBE-GGA.

Output
- total magnetic moment (μB per atom) = 0.00
- Fermi-level density of states (states/eV per cell) = 0.07
- SG = R-3m

Cell and atoms, written as POSCAR:
```
ErHF
1.0
3.658 0.000 0.000
1.829 3.168 0.000
1.829 1.056 7.131
H F Er
2 2 2
direct
0.588 0.588 0.236
0.412 0.412 0.764
0.200 0.200 0.399
0.800 0.800 0.601
0.084 0.084 0.749
0.916 0.916 0.251
```

---

Result of the stability comparison: <two> is the most stable of them.

---

<one>
A geometry-optimized ErIF2 structure. Source: the Alexandria database, functional PBE-GGA.

Output
- total magnetic moment (μB per atom) = 0.00
- Fermi-level density of states (states/eV per cell) = 0.00
- SG = R-3m

Cell and atoms, written as POSCAR:
```
ErIF2
1.0
3.940 0.000 0.000
1.970 3.412 0.000
1.970 1.137 5.643
I F Er
1 2 1
direct
0.500 0.500 0.500
0.307 0.307 0.079
0.693 0.693 0.921
0.000 0.000 0.000
```

---

<two>
A geometry-optimized ErIF2 structure. Source: the Alexandria database, functional PBE-GGA.

Output
- total magnetic moment (μB per atom) = 0.00
- Fermi-level density of states (states/eV per cell) = 0.00
- SG = Cmcm

Cell and atoms, written as POSCAR:
```
ErIF2
1.0
-3.643 0.713 -0.657
0.483 -2.188 5.762
0.851 6.593 2.433
Er I F
2 2 4
direct
0.753 0.506 0.750
0.247 0.494 0.250
0.956 0.911 0.250
0.044 0.089 0.750
0.302 0.605 0.575
0.698 0.395 0.425
0.302 0.605 0.925
0.698 0.395 0.075
```

---

Result of the stability comparison: <two> is the most stable of them.

---

<one>
A geometry-optimized LiEr2F8 structure. Source: the Alexandria database, functional PBE-GGA.

Output
- total magnetic moment (μB per atom) = 0.10
- Fermi-level density of states (states/eV per cell) = 6.89
- SG = C2/m

Cell and atoms, written as POSCAR:
```
LiEr2F8
1.0
-1.475 0.213 -3.384
1.019 -5.249 -0.773
-5.575 1.191 4.524
Li Er F
1 2 8
direct
0.500 0.000 0.000
0.830 0.326 0.660
0.170 0.674 0.340
0.405 0.583 0.810
0.678 0.951 0.357
0.783 0.674 0.566
0.966 0.218 0.932
0.217 0.326 0.434
0.322 0.049 0.643
0.595 0.417 0.190
0.034 0.782 0.068
```

---

<two>
A geometry-optimized LiEr2F8 structure. Source: the Alexandria database, functional PBE-GGA.

Output
- total magnetic moment (μB per atom) = 0.10
- SG = C2/m

Cell and atoms, written as POSCAR:
```
LiEr2F8
1.0
4.350 0.101 1.227
1.218 5.480 1.583
0.145 0.139 5.829
Li Er F
1 2 8
direct
0.000 0.000 0.000
0.605 0.678 0.678
0.395 0.322 0.322
0.762 0.963 0.354
0.238 0.646 0.037
0.695 0.901 0.901
0.305 0.099 0.099
0.762 0.354 0.963
0.238 0.037 0.646
0.200 0.581 0.581
0.800 0.419 0.419
```

---

Result of the stability comparison: <two> is the most stable of them.

---

<one>
A geometry-optimized Na3ErF6 structure. Source: the Alexandria database, functional PBE-GGA.

Output
- total magnetic moment (μB per atom) = 0.00
- Fermi-level density of states (states/eV per cell) = 0.00
- SG = Pnnm

Cell and atoms, written as POSCAR:
```
Na3ErF6
1.0
-3.886 -0.015 0.598
0.788 -3.371 5.036
0.933 9.649 6.313
Na Er F
6 2 12
direct
0.500 0.937 0.740
0.500 0.500 0.000
0.500 0.063 0.260
0.000 0.563 0.240
0.000 0.000 0.500
0.000 0.437 0.760
0.500 0.500 0.500
0.000 0.000 0.000
0.500 0.164 0.940
0.500 0.171 0.584
0.500 0.433 0.304
0.500 0.567 0.696
0.500 0.829 0.416
0.500 0.836 0.060
0.000 0.336 0.440
0.000 0.329 0.084
0.000 0.067 0.804
0.000 0.933 0.196
0.000 0.671 0.916
0.000 0.664 0.560
```

---

<two>
A geometry-optimized Na3ErF6 structure. Source: the Alexandria database, functional PBE-GGA.

Output
- total magnetic moment (μB per atom) = 0.02
- Fermi-level density of states (states/eV per cell) = 0.00
- SG = P2_1/c

Cell and atoms, written as POSCAR:
```
Na3ErF6
1.0
-2.395 4.205 3.214
-0.270 -3.708 4.650
7.611 2.672 2.572
Na Er F
6 2 12
direct
0.513 0.950 0.770
0.500 0.500 0.000
0.487 0.050 0.230
0.013 0.550 0.270
0.000 0.000 0.500
0.987 0.450 0.730
0.500 0.500 0.500
0.000 0.000 0.000
0.688 0.178 0.949
0.675 0.206 0.591
0.635 0.413 0.267
0.365 0.587 0.733
0.325 0.794 0.409
0.312 0.822 0.051
0.188 0.322 0.449
0.175 0.294 0.091
0.135 0.087 0.767
0.865 0.913 0.233
0.825 0.706 0.909
0.812 0.678 0.551
```

---

Result of the stability comparison: <two> is the most stable of them.

---

<one>
A geometry-optimized ErPF structure. Source: the Alexandria database, functional PBE-GGA.

Output
- total magnetic moment (μB per atom) = 0.00
- Fermi-level density of states (states/eV per cell) = 0.40
- SG = C2/m

Cell and atoms, written as POSCAR:
```
ErPF
1.0
3.805 0.000 0.000
-1.902 4.738 -0.378
0.000 -1.886 6.236
Er P F
2 2 2
direct
0.186 0.372 0.228
0.814 0.628 0.772
0.549 0.098 0.869
0.451 0.902 0.131
0.802 0.604 0.412
0.198 0.396 0.588
```

---

<two>
A geometry-optimized ErPF structure. Source: the Alexandria database, functional PBE-GGA.

Output
- total magnetic moment (μB per atom) = 0.00
- Fermi-level density of states (states/eV per cell) = 2.23
- SG = P-6m2

Cell and atoms, written as POSCAR:
```
ErPF
1.0
-0.320 -3.928 1.249
1.170 1.023 3.516
-3.746 0.031 -0.864
P F Er
1 1 1
direct
0.667 0.667 0.333
0.167 0.333 0.667
0.167 0.000 0.000
```

---

Result of the stability comparison: <one> is the most stable of them.